CrMoF6 | PBE+U | optimized geometry

Structure (POSCAR):
```
CrMoF6
1.0
4.872 -3.016 0.000
4.872 3.016 0.000
-1.407 0.000 7.606
Cr Mo F
2 2 12
Direct
0.000 0.500 0.000
0.500 0.000 0.500
0.026 0.974 0.750
0.974 0.026 0.250
0.117 0.212 0.472
0.135 0.600 0.233
0.189 0.612 0.863
0.212 0.117 0.972
0.388 0.811 0.637
0.400 0.865 0.267
0.600 0.135 0.733
0.612 0.189 0.363
0.788 0.883 0.028
0.811 0.388 0.137
0.865 0.400 0.767
0.883 0.788 0.528
```

Distance to the lowest polymorph of the same formula ... 185 meV/atom
Volume ... 13.97 A^3/atom